Record 1
! PBE Ac3YF, relaxed; values from VASP
! space-group type	Pm-3m
! volume	169.4	Å³/f.u.
! E_form (uncorrected)	-0.9468	eV/atom
! mass density	7.73	g cm⁻³
! magnetic moment	0.00	μB/cell
&SYSTEM
  ibrav = 0, nat = 5, ntyp = 3
/
ATOMIC_SPECIES
Ac 227.00 Ac.upf
Y 88.91 Y.upf
F 19.00 F.upf
CELL_PARAMETERS angstrom
5.533 0.000 0.000
0.000 5.533 0.000
0.000 0.000 5.533
ATOMIC_POSITIONS crystal
Ac 0.000 0.000 0.500
Ac 0.000 0.500 0.000
Ac 0.500 0.000 0.000
Y 0.500 0.500 0.500
F 0.000 0.000 0.000

=====

Record 2
! PBE Mn6AlV5, relaxed; values from VASP
! space-group type	Immm
! volume	144.0	Å³/f.u.
! mass density	7.05	g cm⁻³
! E_form	-284	meV/atom
! magnetic moment	1.78	μB/cell
&SYSTEM
  ibrav = 0, nat = 12, ntyp = 3
/
ATOMIC_SPECIES
Mn 54.94 Mn.upf
Al 26.98 Al.upf
V 50.94 V.upf
CELL_PARAMETERS angstrom
-2.039 2.888 6.113
2.039 -2.888 6.113
2.039 2.888 -6.113
ATOMIC_POSITIONS crystal
Mn 0.077 0.330 0.746
Mn 0.241 0.000 0.241
Mn 0.416 0.670 0.746
Mn 0.584 0.330 0.254
Mn 0.759 0.000 0.759
Mn 0.923 0.670 0.254
Al 0.500 0.500 0.000
V 0.000 0.500 0.500
V 0.168 0.168 0.000
V 0.338 0.838 0.500
V 0.662 0.162 0.500
V 0.832 0.832 0.000

=====

Record 3
! PBE SrErAgPt, relaxed; values from VASP
! space-group type	F-43m
! volume	96.1	Å³/f.u.
! mass density	9.64	g cm⁻³
! E_form	-569	meV/atom
! magnetic moment	0.00	μB/cell
&SYSTEM
  ibrav = 0, nat = 4, ntyp = 4
/
ATOMIC_SPECIES
Sr 87.62 Sr.upf
Er 167.26 Er.upf
Ag 107.87 Ag.upf
Pt 195.08 Pt.upf
CELL_PARAMETERS angstrom
0.000 3.635 3.635
3.635 0.000 3.635
3.635 3.635 0.000
ATOMIC_POSITIONS crystal
Sr 0.000 0.000 0.000
Er 0.500 0.500 0.500
Ag 0.250 0.250 0.250
Pt 0.750 0.750 0.750